DFT (PBE) results for an optimized crystal structure of SrGa2Ag9.

The structure in CIF format:
```
data_SrGa2Ag9
_cell_length_a 11.4373
_cell_length_b 11.4373
_cell_length_c 7.2980
_cell_angle_alpha 90.00
_cell_angle_beta 90.00
_cell_angle_gamma 90.00
_space_group_name_H-M_alt 'I 41/a m d'
_space_group_IT_number 141
loop_
_space_group_symop_operation_xyz
'x,y,z'
'-x,-y,-z'
'-y+1/4,x+3/4,z+1/4'
'y+1/4,-x+3/4,-z+1/4'
'-x+1/2,-y,z+1/2'
'x+1/2,y,-z+1/2'
'y+1/4,-x+1/4,z+3/4'
'-y+1/4,x+1/4,-z+3/4'
'x,-y,-z'
'-x,y,z'
'-y+1/4,-x+1/4,-z+3/4'
'y+1/4,x+1/4,z+3/4'
'-x+1/2,y,-z+1/2'
'x+1/2,-y,z+1/2'
'y+1/4,x+3/4,-z+1/4'
'-y+1/4,-x+3/4,z+1/4'
'x+1/2,y+1/2,z+1/2'
'-x+1/2,-y+1/2,-z+1/2'
'-y+3/4,x+1/4,z+3/4'
'y+3/4,-x+1/4,-z+3/4'
'-x,-y+1/2,z'
'x,y+1/2,-z'
'y+3/4,-x+3/4,z+1/4'
'-y+3/4,x+3/4,-z+1/4'
'x+1/2,-y+1/2,-z+1/2'
'-x+1/2,y+1/2,z+1/2'
'-y+3/4,-x+3/4,-z+1/4'
'y+3/4,x+3/4,z+1/4'
'-x,y+1/2,-z'
'x,-y+1/2,z'
'y+3/4,x+1/4,-z+3/4'
'-y+3/4,-x+1/4,z+3/4'
loop_
_atom_site_label
_atom_site_fract_x
_atom_site_fract_y
_atom_site_fract_z
_atom_site_occupancy
Sr1 0.0000 0.2500 0.3750 1
Ga1 0.0000 0.0000 0.0000 1
Ag1 0.0000 0.2500 0.8750 1
Ag2 0.1218 0.0463 0.6849 1
```

Summary:
relative energy among the computed polymorphs	0	meV/atom
magnetization	0.00	μB/f.u.
energy of formation from the pure elements	-0.110	eV/atom
E_tot	-0.1063	hartree per atom

=====

DFT (PBE) results for an optimized crystal structure of Ta4CdCu.

The structure in CIF format:
```
data_Ta4CdCu
_cell_length_a 7.7347
_cell_length_b 7.7347
_cell_length_c 7.7347
_cell_angle_alpha 90.00
_cell_angle_beta 90.00
_cell_angle_gamma 90.00
_space_group_name_H-M_alt 'F -4 3 m'
_space_group_IT_number 216
_space_group_name_Hall 'F -4 2 3'
loop_
_atom_site_label
_atom_site_fract_x
_atom_site_fract_y
_atom_site_fract_z
_atom_site_occupancy
Ta1 0.1250 0.1250 0.1250 1
Cd1 0.2500 0.2500 0.7500 1
Cu1 0.0000 0.0000 0.5000 1
```

Summary:
magnetization	0.00	μB/f.u.
energy of formation from the pure elements	0.612	eV/atom
E_tot	-0.2986	hartree per atom

=====

DFT (PBE) results for an optimized crystal structure of VGeSbTe2.

The structure in CIF format:
```
data_VGeSbTe2
_cell_length_a 5.3149
_cell_length_b 5.3149
_cell_length_c 5.2767
_cell_angle_alpha 90.00
_cell_angle_beta 90.00
_cell_angle_gamma 90.00
_space_group_name_H-M_alt 'P 4/m m m'
_space_group_IT_number 123
_space_group_name_Hall '-P 4 2'
loop_
_atom_site_label
_atom_site_fract_x
_atom_site_fract_y
_atom_site_fract_z
_atom_site_occupancy
V1 0.0000 0.0000 0.0000 1
Ge1 0.5000 0.5000 0.5000 1
Sb1 0.5000 0.5000 0.0000 1
Te1 0.0000 0.5000 0.5000 1
```

Summary:
relative energy among the computed polymorphs	660	meV/atom
raw formation energy	1.096	eV/atom
magnetization	0.06	μB/f.u.
E_tot	-0.1371	hartree per atom

=====

DFT (PBE) results for an optimized crystal structure of Ho3ZrTl4Se8.

The structure in CIF format:
```
data_Ho3ZrTl4Se8
_cell_length_a 14.1785
_cell_length_b 8.1866
_cell_length_c 9.1572
_cell_angle_alpha 90.00
_cell_angle_beta 121.07
_cell_angle_gamma 90.00
_space_group_name_H-M_alt 'C 1 2/m 1'
_space_group_IT_number 12
loop_
_space_group_symop_operation_xyz
'x,y,z'
'-x,-y,-z'
'-x,y,-z'
'x,-y,z'
'x+1/2,y+1/2,z'
'-x+1/2,-y+1/2,-z'
'-x+1/2,y+1/2,-z'
'x+1/2,-y+1/2,z'
loop_
_atom_site_label
_atom_site_fract_x
_atom_site_fract_y
_atom_site_fract_z
_atom_site_occupancy
Ho1 0.0000 0.0000 0.0000 1
Ho2 0.2500 0.2500 0.0000 1
Zr1 0.0000 0.5000 0.0000 1
Tl1 0.0000 0.0000 0.5000 1
Tl2 0.0000 0.5000 0.5000 1
Tl3 0.2500 0.2500 0.5000 1
Se1 0.0129 0.2574 0.7977 1
Se2 0.2294 0.5000 0.2020 1
Se3 0.2357 0.0000 0.2053 1
```

Summary:
raw formation energy	-1.263	eV/atom
magnetization	0.85	μB/f.u.
E_tot	-0.1834	hartree per atom

=====

DFT (PBE) results for an optimized crystal structure of Sm6GaCo2I3.

The structure in CIF format:
```
data_Sm6GaCo2I3
_cell_length_a 7.1490
_cell_length_b 12.3506
_cell_length_c 8.3334
_cell_angle_alpha 90.00
_cell_angle_beta 106.61
_cell_angle_gamma 90.00
_space_group_name_H-M_alt 'C 1 2/m 1'
_space_group_IT_number 12
loop_
_space_group_symop_operation_xyz
'x,y,z'
'-x,-y,-z'
'-x,y,-z'
'x,-y,z'
'x+1/2,y+1/2,z'
'-x+1/2,-y+1/2,-z'
'-x+1/2,y+1/2,-z'
'x+1/2,-y+1/2,z'
loop_
_atom_site_label
_atom_site_fract_x
_atom_site_fract_y
_atom_site_fract_z
_atom_site_occupancy
Sm1 0.2029 0.0000 0.1860 1
Sm2 0.2428 0.3204 0.1883 1
Ga1 0.0000 0.5000 0.0000 1
Co1 0.0000 0.1674 0.0000 1
I1 0.0000 0.0000 0.5000 1
I2 0.0000 0.3380 0.5000 1
```

Summary:
raw formation energy	-0.618	eV/atom
magnetization	0.00	μB/f.u.
E_tot	-0.1764	hartree per atom

=====

DFT (PBE) results for an optimized crystal structure of Nd4RhSeS2.

The structure in CIF format:
```
data_Nd4RhSeS2
_cell_length_a 7.2136
_cell_length_b 4.0897
_cell_length_c 7.2632
_cell_angle_alpha 90.00
_cell_angle_beta 109.05
_cell_angle_gamma 90.00
_space_group_name_H-M_alt 'P 1 2/m 1'
_space_group_IT_number 10
loop_
_space_group_symop_operation_xyz
'x,y,z'
'-x,-y,-z'
'-x,y,-z'
'x,-y,z'
loop_
_atom_site_label
_atom_site_fract_x
_atom_site_fract_y
_atom_site_fract_z
_atom_site_occupancy
Nd1 0.2412 0.0000 0.2400 1
Nd2 0.2546 0.5000 0.7623 1
Rh1 0.5000 0.0000 0.0000 1
Se1 0.5000 0.5000 0.5000 1
S1 0.0000 0.0000 0.5000 1
S2 0.0000 0.5000 0.0000 1
```

Summary:
raw formation energy	-1.591	eV/atom
magnetization	0.00	μB/f.u.
E_tot	-0.2338	hartree per atom

=====

| no. | N(E_F) (states/eV per atom) |
| --- | --- |
| 1 | 0.36 |
| 2 | 1.17 |
| 3 | 1.76 |
| 4 | 0.29 |
| 5 | 0.56 |
| 6 | 0.71 |